(1)
Pr4SmGa2 after structural relaxation. Source: the Alexandria database, functional PBE-GGA.

Output
- M_tot (μB per formula unit) = 0.000
- symmetry = R-3m, No. 166
- DOS(E_F) (states/eV per cell) = 12.460
- raw total energy (eV/atom) = -4.36

Unit cell a=5.127 b=5.127 c=10.649 alpha=76.07 beta=76.07 gamma=60.00
Fractional coordinates of all 7 atoms:
Pr 0.896 0.896 0.312
Ga 0.599 0.599 0.203
Sm 0.500 0.500 0.500
Pr 0.298 0.298 0.107
Ga 0.401 0.401 0.797
Pr 0.104 0.104 0.688
Pr 0.702 0.702 0.893



(2)
PrSm5Ga4 after structural relaxation. Source: the Alexandria database, functional PBE-GGA.

Output
- M_tot (μB per formula unit) = 0.000
- distance to the lowest polymorph of the same formula (eV/f.u.) = 0.00
- symmetry = P4/mmm, No. 123
- DOS(E_F) (states/eV per cell) = 7.813
- raw total energy (eV/atom) = -4.49

Unit cell a=3.622 b=3.622 c=20.250 alpha=90.00 beta=90.00 gamma=90.00
Fractional coordinates of all 10 atoms:
Sm 0.500 0.500 0.865
Ga 0.000 0.000 0.592
Pr 0.000 0.000 0.000
Sm 0.500 0.500 0.683
Ga 0.000 0.000 0.408
Ga 0.000 0.000 0.776
Sm 0.500 0.500 0.317
Sm 0.500 0.500 0.135
Ga 0.000 0.000 0.224
Sm 0.500 0.500 0.500



(3)
Pr3Sm2Ga4 after structural relaxation. Source: the Alexandria database, functional PBE-GGA.

Output
- M_tot (μB per formula unit) = 0.001
- symmetry = C2/m, No. 12
- DOS(E_F) (states/eV per cell) = 7.846
- raw total energy (eV/atom) = -4.43

Unit cell a=4.572 b=5.981 c=9.874 alpha=89.33 beta=90.01 gamma=112.46
Fractional coordinates of all 9 atoms:
Sm 0.321 0.643 0.231
Pr 0.621 0.243 0.386
Ga 0.921 0.842 0.397
Ga 0.079 0.158 0.603
Sm 0.679 0.357 0.769
Ga 0.303 0.606 0.927
Pr 0.000 0.000 0.000
Pr 0.379 0.757 0.614
Ga 0.697 0.394 0.073



(4)
Pr3SmGa4 after structural relaxation. Source: the Alexandria database, functional PBE-GGA.

Output
- M_tot (μB per formula unit) = 0.000
- distance to the lowest polymorph of the same formula (eV/f.u.) = 0.00
- symmetry = P4/mmm, No. 123
- DOS(E_F) (states/eV per cell) = 4.120
- raw total energy (eV/atom) = -4.45

Unit cell a=3.708 b=3.708 c=14.829 alpha=90.00 beta=90.00 gamma=90.00
Fractional coordinates of all 8 atoms:
Pr 0.500 0.500 0.753
Sm 0.500 0.500 0.000
Ga 0.000 0.000 0.881
Ga 0.000 0.000 0.119
Pr 0.500 0.500 0.500
Ga 0.000 0.000 0.626
Ga 0.000 0.000 0.374
Pr 0.500 0.500 0.247



(5)
Pr8SmGa6 after structural relaxation. Source: the Alexandria database, functional PBE-GGA.

Output
- M_tot (μB per formula unit) = 0.000
- symmetry = R-3, No. 148
- DOS(E_F) (states/eV per cell) = 17.690
- raw total energy (eV/atom) = -4.43

Unit cell a=8.941 b=8.941 c=8.201 alpha=56.97 beta=56.97 gamma=60.00
Fractional coordinates of all 15 atoms:
Ga 0.725 0.385 0.835
Pr 0.780 0.114 0.658
Pr 0.114 0.448 0.658
Ga 0.945 0.275 0.165
Ga 0.385 0.055 0.835
Pr 0.220 0.886 0.342
Ga 0.055 0.725 0.835
Pr 0.886 0.552 0.342
Ga 0.615 0.945 0.165
Sm 0.000 0.000 0.000
Pr 0.666 0.666 0.001
Pr 0.448 0.780 0.658
Pr 0.552 0.220 0.342
Pr 0.334 0.334 0.999
Ga 0.275 0.615 0.165



(6)
PrSm4Ga2 after structural relaxation. Source: the Alexandria database, functional PBE-GGA.

Output
- M_tot (μB per formula unit) = 0.000
- symmetry = R-3m, No. 166
- DOS(E_F) (states/eV per cell) = 11.392
- raw total energy (eV/atom) = -4.34

Unit cell a=5.022 b=5.022 c=10.655 alpha=76.37 beta=76.37 gamma=60.00
Fractional coordinates of all 7 atoms:
Sm 0.298 0.298 0.106
Ga 0.600 0.600 0.199
Pr 0.500 0.500 0.500
Sm 0.897 0.897 0.308
Sm 0.702 0.702 0.894
Ga 0.400 0.400 0.801
Sm 0.103 0.103 0.692



(7)
Pr3SmGa4 after structural relaxation. Source: the Alexandria database, functional PBE-GGA.

Output
- M_tot (μB per formula unit) = 0.002
- distance to the lowest polymorph of the same formula (eV/f.u.) = 1.05
- symmetry = Immm, No. 71
- DOS(E_F) (states/eV per cell) = 7.254
- raw total energy (eV/atom) = -4.32

Unit cell a=3.777 b=6.945 c=9.430 alpha=111.58 beta=101.55 gamma=90.00
Fractional coordinates of all 8 atoms:
Ga 0.371 0.181 0.743
Pr 0.202 0.202 0.404
Sm 0.500 0.000 0.000
Ga 0.629 0.819 0.257
Pr 0.000 0.500 0.000
Ga 0.629 0.438 0.257
Pr 0.798 0.798 0.596
Ga 0.371 0.562 0.743



(8)
PrSmTlGa after structural relaxation. Source: the Alexandria database, functional PBE-GGA.

Output
- M_tot (μB per formula unit) = 0.000
- distance to the lowest polymorph of the same formula (eV/f.u.) = 0.13
- symmetry = F-43m, No. 216
- DOS(E_F) (states/eV per cell) = 2.253
- raw total energy (eV/atom) = -4.16

Unit cell a=5.377 b=5.377 c=5.377 alpha=60.00 beta=60.00 gamma=60.00
Fractional coordinates of all 4 atoms:
Pr 0.000 0.000 0.000
Tl 0.250 0.250 0.250
Sm 0.500 0.500 0.500
Ga 0.750 0.750 0.750



(9)
PrSmTlGa after structural relaxation. Source: the Alexandria database, functional PBE-GGA.

Output
- M_tot (μB per formula unit) = 0.000
- distance to the lowest polymorph of the same formula (eV/f.u.) = 0.00
- symmetry = P4mm, No. 99
- DOS(E_F) (states/eV per cell) = 2.074
- raw total energy (eV/atom) = -4.19

Unit cell a=3.747 b=3.747 c=7.790 alpha=90.00 beta=90.00 gamma=90.00
Fractional coordinates of all 4 atoms:
Tl 0.000 0.000 0.850
Pr 0.500 0.500 0.124
Sm 0.500 0.500 0.590
Ga 0.000 0.000 0.364



(10)
PrSmTmGa after structural relaxation. Source: the Alexandria database, functional PBE-GGA.

Output
- M_tot (μB per formula unit) = 0.013
- symmetry = F-43m, No. 216
- DOS(E_F) (states/eV per cell) = 7.080
- raw total energy (eV/atom) = -4.36

Unit cell a=5.407 b=5.407 c=5.407 alpha=60.00 beta=60.00 gamma=60.00
Fractional coordinates of all 4 atoms:
Ga 0.250 0.250 0.250
Sm 0.500 0.500 0.500
Tm 0.750 0.750 0.750
Pr 0.000 0.000 0.000



(11)
Pr2SmZn2Ga2 after structural relaxation. Source: the Alexandria database, functional PBE-GGA.

Output
- M_tot (μB per formula unit) = 0.000
- symmetry = R-3m, No. 166
- DOS(E_F) (states/eV per cell) = 4.045
- raw total energy (eV/atom) = -3.67

Unit cell a=4.501 b=4.501 c=10.025 alpha=77.03 beta=77.03 gamma=60.00
Fractional coordinates of all 7 atoms:
Ga 0.732 0.732 0.805
Sm 0.000 0.000 0.000
Zn 0.606 0.606 0.182
Pr 0.875 0.875 0.376
Zn 0.394 0.394 0.818
Pr 0.125 0.125 0.624
Ga 0.268 0.268 0.195



(12)
PrSm2Zn2Ga2 after structural relaxation. Source: the Alexandria database, functional PBE-GGA.

Output
- M_tot (μB per formula unit) = 0.000
- symmetry = R-3m, No. 166
- DOS(E_F) (states/eV per cell) = 3.462
- raw total energy (eV/atom) = -3.66

Unit cell a=4.504 b=4.504 c=9.885 alpha=76.83 beta=76.83 gamma=60.00
Fractional coordinates of all 7 atoms:
Pr 0.000 0.000 0.000
Ga 0.261 0.261 0.216
Sm 0.872 0.872 0.384
Ga 0.739 0.739 0.784
Sm 0.128 0.128 0.616
Zn 0.598 0.598 0.207
Zn 0.402 0.402 0.793



(13)
Pr2GaSn2 after structural relaxation. Source: the Alexandria database, functional PBE-GGA.

Output
- M_tot (μB per formula unit) = 0.000
- distance to the lowest polymorph of the same formula (eV/f.u.) = 0.57
- symmetry = Cmc2_1, No. 36
- DOS(E_F) (states/eV per cell) = 3.914
- raw total energy (eV/atom) = -4.68

Unit cell a=4.578 b=6.990 c=9.416 alpha=90.00 beta=104.07 gamma=90.00
Fractional coordinates of all 10 atoms:
Sn 0.412 0.467 0.824
Pr 0.209 0.924 0.418
Pr 0.010 0.231 0.019
Pr 0.990 0.731 0.981
Sn 0.588 0.967 0.176
Ga 0.404 0.065 0.808
Ga 0.596 0.565 0.192
Sn 0.168 0.447 0.337
Sn 0.832 0.947 0.663
Pr 0.791 0.424 0.582



(14)
PrGaSn3 after structural relaxation. Source: the Alexandria database, functional PBE-GGA.

Output
- M_tot (μB per formula unit) = 0.000
- symmetry = Pbcm, No. 57
- DOS(E_F) (states/eV per cell) = 8.508
- raw total energy (eV/atom) = -4.31

Unit cell a=6.513 b=6.369 c=12.779 alpha=90.00 beta=90.00 gamma=90.00
Fractional coordinates of all 20 atoms:
Ga 0.500 0.250 0.116
Sn 0.500 0.250 0.501
Ga 0.500 0.750 0.884
Sn 0.250 0.649 0.061
Sn 0.000 0.250 0.501
Sn 0.500 0.750 0.499
Pr 0.250 0.487 0.303
Ga 0.000 0.750 0.884
Pr 0.750 0.013 0.303
Pr 0.750 0.513 0.697
Ga 0.000 0.250 0.116
Sn 0.250 0.981 0.258
Sn 0.000 0.750 0.499
Sn 0.250 0.149 0.939
Sn 0.750 0.019 0.742
Sn 0.750 0.851 0.061
Sn 0.750 0.519 0.258
Sn 0.750 0.351 0.939
Sn 0.250 0.481 0.742
Pr 0.250 0.987 0.697



(15)
Pr6GaSn3 after structural relaxation. Source: the Alexandria database, functional PBE-GGA.

Output
- M_tot (μB per formula unit) = 0.000
- symmetry = P2_1/c, No. 14
- DOS(E_F) (states/eV per cell) = 16.319
- raw total energy (eV/atom) = -4.89

Unit cell a=6.317 b=9.016 c=11.469 alpha=90.00 beta=90.18 gamma=90.00
Fractional coordinates of all 20 atoms:
Sn 0.000 0.000 0.500
Pr 0.867 0.947 0.243
Sn 0.101 0.615 0.248
Pr 0.114 0.333 0.433
Pr 0.133 0.053 0.757
Pr 0.399 0.818 0.437
Pr 0.101 0.318 0.063
Pr 0.614 0.167 0.933
Sn 0.601 0.885 0.748
Sn 0.899 0.385 0.752
Pr 0.386 0.833 0.067
Sn 0.500 0.500 0.000
Pr 0.899 0.682 0.937
Pr 0.633 0.447 0.257
Ga 0.000 0.000 0.000
Sn 0.399 0.115 0.252
Pr 0.886 0.667 0.567
Pr 0.367 0.553 0.743
Pr 0.601 0.182 0.563
Ga 0.500 0.500 0.500



(16)
PrGa2Sn after structural relaxation. Source: the Alexandria database, functional PBE-GGA.

Output
- M_tot (μB per formula unit) = 0.000
- distance to the lowest polymorph of the same formula (eV/f.u.) = 0.69
- symmetry = R-3m, No. 166
- DOS(E_F) (states/eV per cell) = 3.358
- raw total energy (eV/atom) = -4.05

Unit cell a=4.698 b=4.698 c=5.814 alpha=66.17 beta=66.17 gamma=60.00
Fractional coordinates of all 4 atoms:
Sn 0.000 0.000 0.000
Ga 0.725 0.725 0.825
Pr 0.500 0.500 0.500
Ga 0.275 0.275 0.175



(17)
Pr3GaSn after structural relaxation. Source: the Alexandria database, functional PBE-GGA.

Output
- M_tot (μB per formula unit) = 0.000
- symmetry = C2/c, No. 15
- DOS(E_F) (states/eV per cell) = 17.225
- raw total energy (eV/atom) = -4.74

Unit cell a=8.975 b=8.372 c=8.382 alpha=86.49 beta=90.00 gamma=90.00
Fractional coordinates of all 20 atoms:
Pr 0.083 0.698 0.491
Pr 0.584 0.802 0.010
Ga 0.640 0.207 0.292
Pr 0.336 0.070 0.430
Pr 0.916 0.990 0.198
Sn 0.250 0.855 0.146
Pr 0.664 0.930 0.570
Sn 0.250 0.355 0.645
Pr 0.164 0.570 0.930
Sn 0.750 0.645 0.355
Sn 0.750 0.145 0.854
Ga 0.360 0.793 0.708
Pr 0.917 0.302 0.509
Pr 0.836 0.430 0.070
Pr 0.416 0.198 0.990
Pr 0.584 0.491 0.698
Pr 0.416 0.509 0.302
Pr 0.084 0.010 0.802
Ga 0.140 0.292 0.207
Ga 0.860 0.708 0.793



(18)
Pr4GaSn2 after structural relaxation. Source: the Alexandria database, functional PBE-GGA.

Output
- M_tot (μB per formula unit) = 0.007
- symmetry = C2/m, No. 12
- DOS(E_F) (states/eV per cell) = 6.923
- raw total energy (eV/atom) = -4.91

Unit cell a=4.825 b=9.192 c=8.166 alpha=137.71 beta=107.18 gamma=90.00
Fractional coordinates of all 7 atoms:
Ga 0.000 0.000 0.000
Sn 0.352 0.365 0.704
Pr 0.080 0.787 0.161
Sn 0.648 0.635 0.296
Pr 0.324 0.707 0.648
Pr 0.920 0.213 0.839
Pr 0.676 0.293 0.352



(19)
Pr2Ga6Sn after structural relaxation. Source: the Alexandria database, functional PBE-GGA.

Output
- M_tot (μB per formula unit) = 0.000
- symmetry = P-3m1, No. 164
- DOS(E_F) (states/eV per cell) = 4.472
- raw total energy (eV/atom) = -3.98

Unit cell a=5.894 b=6.184 c=6.183 alpha=120.01 beta=89.99 gamma=90.00
Fractional coordinates of all 9 atoms:
Ga 0.651 0.813 0.626
Ga 0.651 0.813 0.187
Ga 0.349 0.187 0.813
Ga 0.349 0.187 0.374
Pr 0.862 0.333 0.667
Sn 0.000 0.000 0.000
Ga 0.349 0.626 0.813
Ga 0.651 0.374 0.187
Pr 0.138 0.667 0.333



(20)
Pr2GaSn2 after structural relaxation. Source: the Alexandria database, functional PBE-GGA.

Output
- M_tot (μB per formula unit) = 0.000
- distance to the lowest polymorph of the same formula (eV/f.u.) = 0.00
- symmetry = C2/m, No. 12
- DOS(E_F) (states/eV per cell) = 4.008
- raw total energy (eV/atom) = -4.80

Unit cell a=4.563 b=6.331 c=10.663 alpha=83.79 beta=77.65 gamma=68.88
Fractional coordinates of all 10 atoms:
Ga 0.469 0.778 0.284
Sn 0.644 0.835 0.877
Pr 0.093 0.718 0.096
Ga 0.531 0.222 0.716
Pr 0.699 0.258 0.344
Sn 0.929 0.715 0.427
Pr 0.907 0.282 0.904
Sn 0.356 0.165 0.123
Sn 0.071 0.285 0.573
Pr 0.301 0.742 0.656



(21)
PrGa3Sn3 after structural relaxation. Source: the Alexandria database, functional PBE-GGA.

Output
- M_tot (μB per formula unit) = 0.000
- symmetry = Pm-3n, No. 223
- DOS(E_F) (states/eV per cell) = 9.951
- raw total energy (eV/atom) = -3.52

Unit cell a=7.516 b=7.516 c=7.516 alpha=90.00 beta=90.00 gamma=90.00
Fractional coordinates of all 14 atoms:
Sn 0.000 0.750 0.500
Ga 0.500 0.250 0.000
Sn 0.500 0.000 0.250
Ga 0.000 0.500 0.250
Sn 0.500 0.000 0.750
Sn 0.000 0.250 0.500
Pr 0.000 0.000 0.000
Sn 0.250 0.500 0.000
Ga 0.000 0.500 0.750
Sn 0.750 0.500 0.000
Ga 0.500 0.750 0.000
Pr 0.500 0.500 0.500
Ga 0.750 0.000 0.500
Ga 0.250 0.000 0.500



(22)
Pr4GaSn3 after structural relaxation. Source: the Alexandria database, functional PBE-GGA.

Output
- M_tot (μB per formula unit) = 0.001
- symmetry = Pmm2, No. 25
- DOS(E_F) (states/eV per cell) = 6.990
- raw total energy (eV/atom) = -5.01

Unit cell a=4.696 b=4.364 c=11.743 alpha=90.00 beta=90.00 gamma=90.00
Fractional coordinates of all 8 atoms:
Pr 0.500 0.000 0.638
Pr 0.000 0.500 0.866
Ga 0.500 0.500 0.083
Sn 0.000 0.500 0.588
Pr 0.500 0.500 0.355
Sn 0.500 0.000 0.924
Pr 0.000 0.000 0.135
Sn 0.000 0.000 0.412